The following is a PBE calculation of a geometry-optimized LaCdCl structure, from the Alexandria database.

The structure in CIF format:
```
data_LaCdCl
_cell_length_a 3.578
_cell_length_b 3.578
_cell_length_c 15.159
_cell_angle_alpha 90.00
_cell_angle_beta 90.00
_cell_angle_gamma 90.00
_space_group_name_H-M_alt 'I 4 m m'
_space_group_IT_number 107
_space_group_name_Hall 'I 4 -2'
loop_
_atom_site_label
_atom_site_type_symbol
_atom_site_fract_x
_atom_site_fract_y
_atom_site_fract_z
La1 La 0.000 0.000 0.000
Cd1 Cd 0.000 0.000 0.652
Cl1 Cl 0.000 0.000 0.394
```

Properties
ΔE to the lowest computed polymorph, eV per atom: 0.071
Energy relative to the elements, uncorrected, eV/atom: -0.896
Crystal system: tetragonal